1.
Eu3In5Se12 | PBE-GGA | optimized geometry

## Properties
The value obtained for the total energy is -5.1957 eV per atom. For the density, the calculation gives 5.6 g/cm3.

Cell: 14.474 14.474 14.474 Å, 109.47 109.47 109.47°
Element x y z (fractional)
Eu: 0.125 0.250 0.375
Eu: 0.125 0.375 0.750
Eu: 0.250 0.375 0.125
Eu: 0.250 0.875 0.625
Eu: 0.375 0.125 0.250
Eu: 0.375 0.750 0.125
Eu: 0.625 0.250 0.875
Eu: 0.625 0.875 0.750
Eu: 0.750 0.125 0.375
Eu: 0.750 0.625 0.875
Eu: 0.875 0.625 0.250
Eu: 0.875 0.750 0.625
In: 0.000 0.000 0.000
In: 0.000 0.000 0.500
In: 0.000 0.500 0.000
In: 0.000 0.500 0.500
In: 0.125 0.750 0.875
In: 0.125 0.875 0.250
In: 0.250 0.125 0.875
In: 0.250 0.625 0.375
In: 0.375 0.250 0.625
In: 0.375 0.625 0.750
In: 0.500 0.000 0.000
In: 0.500 0.000 0.500
In: 0.500 0.500 0.000
In: 0.500 0.500 0.500
In: 0.625 0.375 0.250
In: 0.625 0.750 0.375
In: 0.750 0.375 0.625
In: 0.750 0.875 0.125
In: 0.875 0.125 0.750
In: 0.875 0.250 0.125
Se: 0.042 0.216 0.128
Se: 0.042 0.326 0.913
Se: 0.087 0.628 0.413
Se: 0.087 0.716 0.674
Se: 0.087 0.872 0.413
Se: 0.087 0.958 0.674
Se: 0.128 0.042 0.216
Se: 0.128 0.587 0.913
Se: 0.174 0.216 0.587
Se: 0.174 0.458 0.587
Se: 0.216 0.128 0.042
Se: 0.216 0.587 0.174
Se: 0.284 0.326 0.913
Se: 0.284 0.458 0.372
Se: 0.326 0.913 0.042
Se: 0.326 0.913 0.284
Se: 0.372 0.284 0.458
Se: 0.372 0.587 0.913
Se: 0.413 0.087 0.628
Se: 0.413 0.087 0.872
Se: 0.413 0.826 0.542
Se: 0.413 0.826 0.784
Se: 0.458 0.372 0.284
Se: 0.458 0.587 0.174
Se: 0.542 0.413 0.826
Se: 0.542 0.628 0.716
Se: 0.587 0.174 0.216
Se: 0.587 0.174 0.458
Se: 0.587 0.913 0.128
Se: 0.587 0.913 0.372
Se: 0.628 0.413 0.087
Se: 0.628 0.716 0.542
Se: 0.674 0.087 0.716
Se: 0.674 0.087 0.958
Se: 0.716 0.542 0.628
Se: 0.716 0.674 0.087
Se: 0.784 0.413 0.826
Se: 0.784 0.872 0.958
Se: 0.826 0.542 0.413
Se: 0.826 0.784 0.413
Se: 0.872 0.413 0.087
Se: 0.872 0.958 0.784
Se: 0.913 0.042 0.326
Se: 0.913 0.128 0.587
Se: 0.913 0.284 0.326
Se: 0.913 0.372 0.587
Se: 0.958 0.674 0.087
Se: 0.958 0.784 0.872


2.
Eu2InSi | PBE-GGA | optimized geometry

## Properties
The value obtained for the total energy is -7.1922 eV per atom. For the density, the calculation gives 5.7 g/cm3.

Cell: 11.080 11.080 11.080 Å, 19.25 19.25 19.25°
Element x y z (fractional)
Eu: 0.103 0.103 0.103
Eu: 0.897 0.897 0.897
In: 0.000 0.000 0.000
Si: 0.500 0.500 0.500


3.
Eu2InSi | PBE-GGA | optimized geometry

## Properties
The value obtained for the total energy is -7.5785 eV per atom. For the density, the calculation gives 6.8 g/cm3.

Cell: 3.755 3.755 7.736 Å, 90.00 90.00 90.00°
Element x y z (fractional)
Eu: 0.000 0.000 0.219
Eu: 0.000 0.000 0.781
In: 0.500 0.500 0.500
Si: 0.500 0.500 0.000


4.
SmEu2In | PBE-GGA | optimized geometry

## Properties
The formation energy from the elements comes out at -0.8 eV per formula unit. As for the polymorph energy (0 for the lowest one): 0.00 eV per formula unit. For the density, the calculation gives 7.3 g/cm3.

Cell: 4.952 4.952 5.249 Å, 90.00 90.00 90.00°
Element x y z (fractional)
Sm: 0.000 0.000 0.000
Eu: 0.000 0.500 0.500
Eu: 0.500 0.000 0.500
In: 0.500 0.500 0.000


5.
SmEu2In | PBE-GGA | optimized geometry

## Properties
The formation energy from the elements comes out at -0.6 eV per formula unit. As for the polymorph energy (0 for the lowest one): 0.23 eV per formula unit. For the density, the calculation gives 7.0 g/cm3.

Cell: 3.888 3.888 8.990 Å, 90.00 90.00 90.00°
Element x y z (fractional)
Sm: 0.000 0.000 0.000
Eu: 0.500 0.500 0.283
Eu: 0.500 0.500 0.717
In: 0.000 0.000 0.500


6.
Sm2EuIn | PBE-GGA | optimized geometry

## Properties
The formation energy from the elements comes out at -0.7 eV per formula unit. As for the polymorph energy (0 for the lowest one): 0.18 eV per formula unit. For the density, the calculation gives 7.2 g/cm3.

Cell: 3.743 3.743 9.341 Å, 90.00 90.00 90.00°
Element x y z (fractional)
Sm: 0.000 0.000 0.213
Sm: 0.000 0.000 0.787
Eu: 0.500 0.500 0.500
In: 0.500 0.500 0.000


7.
SmEu2In | PBE-GGA | optimized geometry

## Properties
The formation energy from the elements comes out at -0.4 eV per formula unit. As for the polymorph energy (0 for the lowest one): 0.49 eV per formula unit. For the density, the calculation gives 7.3 g/cm3.

Cell: 5.682 5.682 5.682 Å, 60.00 60.00 60.00°
Element x y z (fractional)
Sm: 0.000 0.000 0.000
Eu: 0.250 0.250 0.250
Eu: 0.750 0.750 0.750
In: 0.500 0.500 0.500


8.
Sm2EuIn | PBE-GGA | optimized geometry

## Properties
The formation energy from the elements comes out at -0.9 eV per formula unit. As for the polymorph energy (0 for the lowest one): 0.00 eV per formula unit. For the density, the calculation gives 7.6 g/cm3.

Cell: 5.036 5.036 4.872 Å, 90.00 90.00 90.00°
Element x y z (fractional)
Sm: 0.000 0.500 0.000
Sm: 0.500 0.000 0.000
Eu: 0.000 0.000 0.500
In: 0.500 0.500 0.500


9.
SmEuIn4 | PBE-GGA | optimized geometry

## Properties
The formation energy from the elements comes out at -2.4 eV per formula unit. For the density, the calculation gives 7.8 g/cm3.

Cell: 6.110 6.110 6.110 Å, 60.00 60.00 60.00°
Element x y z (fractional)
Sm: 0.000 0.000 0.000
Eu: 0.750 0.750 0.750
In: 0.375 0.375 0.375
In: 0.375 0.375 0.875
In: 0.375 0.875 0.375
In: 0.875 0.375 0.375


10.
Sm2EuIn | PBE-GGA | optimized geometry

## Properties
The formation energy from the elements comes out at -0.6 eV per formula unit. As for the polymorph energy (0 for the lowest one): 0.29 eV per formula unit. For the density, the calculation gives 7.6 g/cm3.

Cell: 5.586 5.586 5.586 Å, 60.00 60.00 60.00°
Element x y z (fractional)
Sm: 0.250 0.250 0.250
Sm: 0.750 0.750 0.750
Eu: 0.000 0.000 0.000
In: 0.500 0.500 0.500


For each record above, in turn, the calculated M_tot values are 73.33; 14.51; 14.07; 14.36; 15.10; 8.00; 15.09; 7.34; 7.51; 7.47 μB/cell.
For each record above, in turn, the calculated density of states at the Fermi level values are 107.5; 2.1; 9.5; 3.2; 5.0; 4.8; 4.5; 4.8; 10.5; 5.2 states/eV/cell.